Computed, not measured: a relaxed Hg2BrF8 crystal at the PBE-GGA level of DFT.

extended XYZ file:
```
11
Lattice="-3.1204 1.5272 -1.9019 -0.6721 -6.3146 -4.0478 -3.4909 1.1520 6.5724" Properties=species:S:1:pos:R:3 pbc="T T T"
Hg -3.4591 -2.7076 -1.2300
Hg -4.2107 -0.7167 1.6018
Br -5.8035 -4.3322 1.5054
F -2.6325 -0.2821 -2.1872
F -3.2048 1.2338 -0.0312
F -2.4345 -1.4540 0.3761
F -2.8391 -0.9872 3.3304
F -1.6891 -4.0335 -1.0024
F -5.2901 -2.2712 0.1927
F -4.2865 -4.7568 0.4824
F -4.8714 -3.2074 2.6862
```

The formation energy from raw total energies is -1.087 eV/atom. As for the space-group type: Cm. The value obtained for the magnetic moment is 1.0 μB per formula unit. The value obtained for the final energy is -29.202 eV/f.u.